A.
# KCd2Cl, optimized geometry, DFT GGA-PBE
# **Crystal system**: tetragonal
data_KCd2Cl
_chemical_formula_sum 'K1 Cd2 Cl1'
_cell_length_a 5.029
_cell_length_b 5.029
_cell_length_c 5.790
_cell_angle_alpha 90.00
_cell_angle_beta 90.00
_cell_angle_gamma 90.00
_space_group_name_H-M_alt 'P 1'
_space_group_IT_number 1
_space_group_name_Hall 'P 1'
loop_
_atom_site_label
_atom_site_fract_x
_atom_site_fract_y
_atom_site_fract_z
K1 0.000 0.000 0.000
Cd1 0.500 0.500 0.260
Cd2 0.500 0.500 0.740
Cl1 0.000 0.000 0.500

=====

B.
# KCd2Cl, optimized geometry, DFT GGA-PBE
# **Crystal system**: trigonal
data_KCd2Cl
_chemical_formula_sum 'K1 Cd2 Cl1'
_cell_length_a 9.491
_cell_length_b 9.491
_cell_length_c 9.491
_cell_angle_alpha 25.53
_cell_angle_beta 25.53
_cell_angle_gamma 25.53
_space_group_name_H-M_alt 'P 1'
_space_group_IT_number 1
_space_group_name_Hall 'P 1'
loop_
_atom_site_label
_atom_site_fract_x
_atom_site_fract_y
_atom_site_fract_z
K1 0.000 0.000 0.000
Cd1 0.236 0.236 0.236
Cd2 0.764 0.764 0.764
Cl1 0.500 0.500 0.500

=====

How far above the most stable structure does each one sit? In meV per atom: A 0; B 89.

=====

A.
# KCd2Cl, optimized geometry, DFT GGA-PBE
# **Crystal system**: tetragonal
data_KCd2Cl
_chemical_formula_sum 'K1 Cd2 Cl1'
_cell_length_a 7.617
_cell_length_b 7.617
_cell_length_c 7.617
_cell_angle_alpha 147.31
_cell_angle_beta 147.31
_cell_angle_gamma 46.90
_space_group_name_H-M_alt 'P 1'
_space_group_IT_number 1
_space_group_name_Hall 'P 1'
loop_
_atom_site_label
_atom_site_fract_x
_atom_site_fract_y
_atom_site_fract_z
K1 0.000 0.000 0.000
Cd1 0.250 0.750 0.500
Cd2 0.750 0.250 0.500
Cl1 0.500 0.500 0.000

=====

B.
# KCd2Cl, optimized geometry, DFT GGA-PBE
# **Crystal system**: cubic
data_KCd2Cl
_chemical_formula_sum 'K1 Cd2 Cl1'
_cell_length_a 5.816
_cell_length_b 5.816
_cell_length_c 5.816
_cell_angle_alpha 60.00
_cell_angle_beta 60.00
_cell_angle_gamma 60.00
_space_group_name_H-M_alt 'P 1'
_space_group_IT_number 1
_space_group_name_Hall 'P 1'
loop_
_atom_site_label
_atom_site_fract_x
_atom_site_fract_y
_atom_site_fract_z
K1 0.000 0.000 0.000
Cd1 0.250 0.250 0.250
Cd2 0.750 0.750 0.750
Cl1 0.500 0.500 0.500

=====

How far above the most stable structure does each one sit? In meV per atom: A 0; B 338.

=====

A.
# KCd2Cl, optimized geometry, DFT GGA-PBE
# **Crystal system**: monoclinic
data_KCd2Cl
_chemical_formula_sum 'K1 Cd2 Cl1'
_cell_length_a 5.105
_cell_length_b 5.105
_cell_length_c 7.127
_cell_angle_alpha 111.09
_cell_angle_beta 111.09
_cell_angle_gamma 58.70
_space_group_name_H-M_alt 'P 1'
_space_group_IT_number 1
_space_group_name_Hall 'P 1'
loop_
_atom_site_label
_atom_site_fract_x
_atom_site_fract_y
_atom_site_fract_z
K1 0.000 0.000 0.000
Cd1 0.204 0.204 0.619
Cd2 0.516 0.516 0.568
Cl1 0.369 0.369 0.122

=====

B.
# KCd2Cl, optimized geometry, DFT GGA-PBE
# **Crystal system**: orthorhombic
data_KCd2Cl
_chemical_formula_sum 'K1 Cd2 Cl1'
_cell_length_a 6.398
_cell_length_b 6.398
_cell_length_c 4.058
_cell_angle_alpha 90.00
_cell_angle_beta 90.00
_cell_angle_gamma 126.39
_space_group_name_H-M_alt 'P 1'
_space_group_IT_number 1
_space_group_name_Hall 'P 1'
loop_
_atom_site_label
_atom_site_fract_x
_atom_site_fract_y
_atom_site_fract_z
K1 0.000 0.000 0.000
Cd1 0.000 0.500 0.500
Cd2 0.500 0.000 0.500
Cl1 0.500 0.500 0.000

=====

How far above the most stable structure does each one sit? In meV per atom: A 0; B 166.

=====

A.
# KCd2Cl, optimized geometry, DFT GGA-PBE
# **Crystal system**: orthorhombic
data_KCd2Cl
_chemical_formula_sum 'K1 Cd2 Cl1'
_cell_length_a 4.092
_cell_length_b 5.803
_cell_length_c 5.853
_cell_angle_alpha 90.00
_cell_angle_beta 90.00
_cell_angle_gamma 90.00
_space_group_name_H-M_alt 'P 1'
_space_group_IT_number 1
_space_group_name_Hall 'P 1'
loop_
_atom_site_label
_atom_site_fract_x
_atom_site_fract_y
_atom_site_fract_z
K1 0.000 0.000 0.000
Cd1 0.500 0.260 0.500
Cd2 0.500 0.740 0.500
Cl1 0.000 0.500 0.000

=====

B.
# KCd2Cl, optimized geometry, DFT GGA-PBE
# **Crystal system**: monoclinic
data_KCd2Cl
_chemical_formula_sum 'K1 Cd2 Cl1'
_cell_length_a 4.263
_cell_length_b 4.200
_cell_length_c 7.461
_cell_angle_alpha 90.00
_cell_angle_beta 106.45
_cell_angle_gamma 90.00
_space_group_name_H-M_alt 'P 1'
_space_group_IT_number 1
_space_group_name_Hall 'P 1'
loop_
_atom_site_label
_atom_site_fract_x
_atom_site_fract_y
_atom_site_fract_z
K1 0.000 0.000 0.000
Cd1 0.237 0.500 0.491
Cd2 0.720 0.000 0.456
Cl1 0.455 0.500 0.909

=====

How far above the most stable structure does each one sit? In meV per atom: A 240; B 0.

=====

A.
# KCdCl, optimized geometry, DFT GGA-PBE
# **Crystal system**: trigonal
data_KCdCl
_chemical_formula_sum 'K4 Cd4 Cl4'
_cell_length_a 4.245
_cell_length_b 4.245
_cell_length_c 28.118
_cell_angle_alpha 90.00
_cell_angle_beta 90.00
_cell_angle_gamma 120.00
_space_group_name_H-M_alt 'P 1'
_space_group_IT_number 1
_space_group_name_Hall 'P 1'
loop_
_atom_site_label
_atom_site_fract_x
_atom_site_fract_y
_atom_site_fract_z
K1 0.333 0.667 0.174
K2 0.333 0.667 0.429
K3 0.667 0.333 0.571
K4 0.667 0.333 0.826
Cd1 0.333 0.667 0.030
Cd2 0.333 0.667 0.667
Cd3 0.667 0.333 0.333
Cd4 0.667 0.333 0.970
Cl1 0.333 0.667 0.759
Cl2 0.333 0.667 0.898
Cl3 0.667 0.333 0.102
Cl4 0.667 0.333 0.241

=====

B.
# KCdCl, optimized geometry, DFT GGA-PBE
# **Crystal system**: cubic
data_KCdCl
_chemical_formula_sum 'K1 Cd1 Cl1'
_cell_length_a 5.513
_cell_length_b 5.513
_cell_length_c 5.513
_cell_angle_alpha 60.00
_cell_angle_beta 60.00
_cell_angle_gamma 60.00
_space_group_name_H-M_alt 'P 1'
_space_group_IT_number 1
_space_group_name_Hall 'P 1'
loop_
_atom_site_label
_atom_site_fract_x
_atom_site_fract_y
_atom_site_fract_z
K1 0.000 0.000 0.000
Cd1 0.500 0.500 0.500
Cl1 0.750 0.750 0.750

=====

C.
# KCdCl, optimized geometry, DFT GGA-PBE
# **Crystal system**: trigonal
data_KCdCl
_chemical_formula_sum 'K1 Cd1 Cl1'
_cell_length_a 4.636
_cell_length_b 4.636
_cell_length_c 6.346
_cell_angle_alpha 90.00
_cell_angle_beta 90.00
_cell_angle_gamma 120.00
_space_group_name_H-M_alt 'P 1'
_space_group_IT_number 1
_space_group_name_Hall 'P 1'
loop_
_atom_site_label
_atom_site_fract_x
_atom_site_fract_y
_atom_site_fract_z
K1 0.000 0.000 0.000
Cd1 0.667 0.333 0.437
Cl1 0.333 0.667 0.780

=====

How far above the most stable structure does each one sit? In meV per atom: A 145; B 64; C 0.

=====

A.
# KCdCl, optimized geometry, DFT GGA-PBE
# **Crystal system**: cubic
data_KCdCl
_chemical_formula_sum 'K1 Cd1 Cl1'
_cell_length_a 5.571
_cell_length_b 5.571
_cell_length_c 5.571
_cell_angle_alpha 60.00
_cell_angle_beta 60.00
_cell_angle_gamma 60.00
_space_group_name_H-M_alt 'P 1'
_space_group_IT_number 1
_space_group_name_Hall 'P 1'
loop_
_atom_site_label
_atom_site_fract_x
_atom_site_fract_y
_atom_site_fract_z
K1 0.000 0.000 0.000
Cd1 0.250 0.250 0.250
Cl1 0.500 0.500 0.500

=====

B.
# KCdCl, optimized geometry, DFT GGA-PBE
# **Crystal system**: tetragonal
data_KCdCl
_chemical_formula_sum 'K1 Cd1 Cl1'
_cell_length_a 7.980
_cell_length_b 7.980
_cell_length_c 7.980
_cell_angle_alpha 148.70
_cell_angle_beta 148.70
_cell_angle_gamma 44.85
_space_group_name_H-M_alt 'P 1'
_space_group_IT_number 1
_space_group_name_Hall 'P 1'
loop_
_atom_site_label
_atom_site_fract_x
_atom_site_fract_y
_atom_site_fract_z
K1 0.000 0.000 0.000
Cd1 0.256 0.256 0.000
Cl1 0.473 0.473 0.000

=====

How far above the most stable structure does each one sit? In meV per atom: A 260; B 0.